## NbZn2Ag2 (PBE-GGA)

Data for a relaxed structure of NbZn2Ag2.

Calculated values
Size of the total moment in μB/f.u.: 0.00
ΔH_f (0 K) in eV/atom: 0.17

Structure (CIF):
```
data_NbZn2Ag2
_chemical_formula_sum 'Nb2 Zn4 Ag4'
_symmetry_space_group_name_H-M 'P 4/m b m'
_symmetry_Int_Tables_number 127
_symmetry_space_group_name_Hall '-P 4 2ab'
_cell_length_a 7.6683
_cell_length_b 7.6683
_cell_length_c 2.8235
_cell_angle_alpha 90.00
_cell_angle_beta 90.00
_cell_angle_gamma 90.00
loop_
_atom_site_label
_atom_site_type_symbol
_atom_site_fract_x
_atom_site_fract_y
_atom_site_fract_z
Nb1 Nb 0.0000 0.0000 0.0000
Zn1 Zn 0.1277 0.3723 0.0000
Ag1 Ag 0.1708 0.6708 0.5000
```